First-principles (PBE) data for crystalline HoTm3Th4S8 at its relaxed geometry, as listed in the Alexandria database.

abc: 8.0695 8.0695 8.0695
angles: 57.28 57.28 57.28
Element x y z (fractional)
Ho: 0.0000 0.0000 0.0000
Tm: 0.0000 0.5000 0.5000
Tm: 0.5000 0.0000 0.5000
Tm: 0.5000 0.5000 0.0000
Th: 0.0000 0.0000 0.5000
Th: 0.0000 0.5000 0.0000
Th: 0.5000 0.0000 0.0000
Th: 0.5000 0.5000 0.5000
S: 0.2439 0.2439 0.7412
S: 0.2439 0.7412 0.2439
S: 0.2574 0.2574 0.2574
S: 0.2588 0.7561 0.7561
S: 0.7412 0.2439 0.2439
S: 0.7426 0.7426 0.7426
S: 0.7561 0.2588 0.7561
S: 0.7561 0.7561 0.2588

Summary:
formation energy without anion corrections: -1894 meV per atom
uncorrected energy: -6.937 eV/atom
M_tot: 0.0 μB per formula unit